(1)
Here is crystalline Ca2CdHg5 at its relaxed geometry from Alexandria via LeMat-Bulk. Energies are from PBE-GGA.

Structure (extended XYZ):
```
16
Lattice="-0.2256 -4.3057 0.7648 3.5443 0.4539 -8.9352 9.7064 0.1770 3.8591" Properties=species:S:1:pos:R:3 pbc="T T T"
Ca 9.3152 -3.0837 -2.0774
Ca 3.7099 -0.5912 -2.2339
Ca 0.0000 0.0000 0.0000
Ca 4.8532 0.0885 1.9296
Cd 10.4565 -1.4400 -5.0233
Cd 2.5687 -2.2348 0.7121
Hg 10.1589 -0.5522 -0.1129
Hg 2.8662 -3.1226 -4.1983
Hg 7.2740 -0.6048 -1.2599
Hg 5.7511 -3.0700 -3.0513
Hg 11.9290 -1.0900 -2.6181
Hg 1.0961 -2.5849 -1.6931
Hg 7.7246 -1.1666 -4.2897
Hg 5.3005 -2.5082 -0.0215
Hg 7.9419 -2.4037 1.3455
Hg 5.0832 -1.2711 -5.6567
```

Summary:
Total energy, eV/atom: -1.093
Crystal system: orthorhombic
Theoretical density, g/cm³: 9.3
ΔH_f (0 K), meV/atom: -289


(2)
Here is crystalline Ca2CdHg9 at its relaxed geometry from Alexandria via LeMat-Bulk. Energies are from PBE-GGA.

Structure (extended XYZ):
```
12
Lattice="4.7416 0.0000 0.0000 0.0000 4.7416 0.0000 0.0000 0.0000 13.7138" Properties=species:S:1:pos:R:3 pbc="T T T"
Ca 0.0000 0.0000 4.4744
Ca 0.0000 0.0000 9.2394
Cd 0.0000 0.0000 0.0000
Hg 2.3708 2.3708 0.0000
Hg 2.3708 2.3708 4.5768
Hg 2.3708 2.3708 9.1370
Hg 2.3708 0.0000 2.2335
Hg 2.3708 0.0000 6.8569
Hg 2.3708 0.0000 11.4803
Hg 0.0000 2.3708 2.2335
Hg 0.0000 2.3708 6.8569
Hg 0.0000 2.3708 11.4803
```

Summary:
Total energy, eV/atom: -0.890
Crystal system: tetragonal
Theoretical density, g/cm³: 10.8
ΔH_f (0 K), meV/atom: -253


(3)
Here is crystalline Ca3Cd4Hg2 at its relaxed geometry from Alexandria via LeMat-Bulk. Energies are from PBE-GGA.

Structure (extended XYZ):
```
9
Lattice="5.4030 0.0142 -0.1435 2.7090 4.9826 0.0334 2.4614 2.0188 8.8316" Properties=species:S:1:pos:R:3 pbc="T T T"
Ca 5.2620 1.9657 5.6264
Ca 0.0000 0.0000 0.0000
Ca 5.3113 5.0500 3.0951
Cd 2.7047 1.6701 0.0983
Cd 7.9705 3.7063 5.7676
Cd 2.6028 3.3094 2.9540
Cd 7.8686 5.3455 8.6233
Hg 5.2914 1.8025 2.4810
Hg 5.2820 5.2132 6.2405
```

Summary:
Total energy, eV/atom: -1.467
Crystal system: triclinic
Theoretical density, g/cm³: 6.8
ΔH_f (0 K), meV/atom: -326


(4)
Here is crystalline Ca2Cd3Hg6 at its relaxed geometry from Alexandria via LeMat-Bulk. Energies are from PBE-GGA.

Structure (extended XYZ):
```
11
Lattice="-1.1036 2.7545 2.0895 -7.9084 -4.6288 1.9251 0.5050 -5.5213 7.5455" Properties=species:S:1:pos:R:3 pbc="T T T"
Ca -1.9728 -5.2584 5.8902
Ca -5.4305 -4.8916 3.5804
Cd -1.7789 -2.4389 2.2756
Cd -5.6245 -7.7112 7.1950
Cd -0.5518 1.3773 1.0447
Hg -3.4471 -2.5922 4.7485
Hg -5.0599 -4.8033 6.8116
Hg -7.9367 -5.0035 5.5560
Hg -0.5703 -2.3920 6.0040
Hg -2.8673 -5.5413 8.9425
Hg -5.6397 -1.8542 2.6176
```

Summary:
Total energy, eV/atom: -0.994
Crystal system: orthorhombic
Theoretical density, g/cm³: 9.3
ΔH_f (0 K), meV/atom: -216


(5)
Here is crystalline CaCd3Hg3 at its relaxed geometry from Alexandria via LeMat-Bulk. Energies are from PBE-GGA.

Structure (extended XYZ):
```
14
Lattice="-0.2490 -5.1714 -1.2065 0.5406 -1.9856 8.3990 -7.7363 1.2272 -3.6636" Properties=species:S:1:pos:R:3 pbc="T T T"
Ca -2.2806 -2.2075 4.0765
Ca -5.1641 -3.7223 -0.5476
Cd -5.5965 -1.9413 3.6198
Cd -0.1856 -1.7074 1.5006
Cd -1.0597 -2.9738 7.1091
Cd -1.8482 -3.9885 -0.0909
Cd -7.2591 -4.2224 2.0283
Cd -6.3850 -2.9560 -3.5802
Hg -3.9631 -4.4659 2.3918
Hg -0.6507 -4.6945 2.6882
Hg -2.6016 -5.2192 5.3398
Hg -3.4816 -1.4639 1.1371
Hg -6.7940 -1.2353 0.8407
Hg -4.8432 -0.7106 -1.8109
```

Summary:
Total energy, eV/atom: -0.990
Crystal system: hexagonal
Theoretical density, g/cm³: 9.4
ΔH_f (0 K), meV/atom: -182


(6)
Here is crystalline Ca3Cd2Hg5 at its relaxed geometry from Alexandria via LeMat-Bulk. Energies are from PBE-GGA.

Structure (extended XYZ):
```
20
Lattice="8.8668 -0.3210 -3.6741 -1.5460 7.4323 -3.8400 -1.5221 -2.3462 10.0963" Properties=species:S:1:pos:R:3 pbc="T T T"
Ca -1.2770 3.5287 4.9913
Ca 7.0756 1.2364 -2.4091
Ca 4.0818 4.2228 -1.5277
Ca 1.7167 0.5423 4.1099
Ca 0.2565 4.1717 -0.4231
Ca 5.5421 0.5934 3.0053
Cd 4.0664 3.3372 1.8633
Cd 1.7322 1.4278 0.7189
Cd 1.1310 3.5694 2.6856
Cd 4.6676 1.1957 -0.1034
Hg -0.0931 1.0026 6.7866
Hg 5.8917 3.7625 -4.2044
Hg -1.6651 4.9229 2.1132
Hg 1.6854 6.3690 -2.1743
Hg 7.4637 -0.1578 0.4690
Hg 4.1132 -1.6040 4.7565
Hg -1.4780 6.3200 -2.2008
Hg 7.2766 -1.5549 4.7830
Hg 2.1956 -0.9562 7.2188
Hg 3.6030 5.7213 -4.6366
```

Summary:
Total energy, eV/atom: -1.294
Crystal system: triclinic
Theoretical density, g/cm³: 8.5
ΔH_f (0 K), meV/atom: -360


(7)
Here is crystalline CaCd2Hg2 at its relaxed geometry from Alexandria via LeMat-Bulk. Energies are from PBE-GGA.

Structure (extended XYZ):
```
5
Lattice="5.3345 -0.0066 1.6442 0.5033 5.3107 1.6442 2.6044 2.3663 5.9097" Properties=species:S:1:pos:R:3 pbc="T T T"
Ca 0.0000 0.0000 0.0000
Cd 2.7563 5.4474 4.5991
Cd 5.6859 2.2230 4.5991
Hg 4.9772 4.5221 6.3052
Hg 3.4650 3.1482 2.8929
```

Summary:
Total energy, eV/atom: -1.134
Crystal system: monoclinic
Theoretical density, g/cm³: 8.8
ΔH_f (0 K), meV/atom: -247


(8)
Here is crystalline CaCd6Hg4 at its relaxed geometry from Alexandria via LeMat-Bulk. Energies are from PBE-GGA.

Structure (extended XYZ):
```
11
Lattice="-4.5298 -4.8303 -4.1632 2.6092 -1.2573 7.2660 -2.3005 6.6270 3.4603" Properties=species:S:1:pos:R:3 pbc="T T T"
Ca 0.0000 0.0000 0.0000
Cd 0.9735 1.9950 7.1168
Cd -0.5990 4.5203 5.8978
Cd -3.0069 -2.0311 -0.3286
Cd -3.4152 0.8983 -0.3514
Cd -1.2800 1.4249 4.6033
Cd -0.9603 -3.0438 1.5514
Hg -1.1410 3.7895 2.6149
Hg -2.1068 -0.1652 2.3758
Hg 1.3470 -0.2059 4.5434
Hg -2.0116 2.4907 7.7552
```

Summary:
Total energy, eV/atom: -0.833
Crystal system: tetragonal
Theoretical density, g/cm³: 8.3
ΔH_f (0 K), meV/atom: -42


(9)
Here is crystalline Ca4Cd5Hg2 at its relaxed geometry from Alexandria via LeMat-Bulk. Energies are from PBE-GGA.

Structure (extended XYZ):
```
11
Lattice="-1.7200 -0.6193 -3.1499 -5.2601 -4.4676 3.7507 -5.4483 8.8319 1.2387" Properties=species:S:1:pos:R:3 pbc="T T T"
Ca -7.7537 1.3124 1.8706
Ca -6.5493 6.7277 0.1482
Ca -4.6747 2.4326 -0.0310
Ca -5.8791 -2.9827 1.6913
Cd -4.5158 0.1172 2.4428
Cd -1.9187 0.5085 0.9478
Cd -2.6300 -2.2338 1.8753
Cd -8.7896 3.8558 4.0416
Cd -6.1926 4.2471 2.5466
Hg -3.8314 5.3740 1.0357
Hg -6.8770 -1.0097 3.9538
```

Summary:
Total energy, eV/atom: -1.534
Crystal system: monoclinic
Theoretical density, g/cm³: 6.3
ΔH_f (0 K), meV/atom: -335


(10)
Here is crystalline Ca2Cd2Hg7 at its relaxed geometry from Alexandria via LeMat-Bulk. Energies are from PBE-GGA.

Structure (extended XYZ):
```
11
Lattice="7.4381 -0.0031 -0.1889 0.0030 6.0571 0.0024 -0.6519 -0.0031 7.4119" Properties=species:S:1:pos:R:3 pbc="T T T"
Ca 5.4687 3.0236 5.8204
Ca 1.3204 3.0274 1.4050
Cd 5.3386 6.0539 1.7888
Cd 1.4505 -0.0030 5.4365
Hg 7.1110 1.5422 3.5202
Hg 3.0720 4.5056 7.3175
Hg -0.3219 4.5087 3.7051
Hg 3.7171 1.5453 -0.0922
Hg 0.0000 0.0000 0.0000
Hg 3.3972 4.5254 3.6115
Hg 3.3920 1.5255 3.6138
```

Summary:
Total energy, eV/atom: -0.810
Crystal system: orthorhombic
Theoretical density, g/cm³: 8.5
ΔH_f (0 K), meV/atom: -87


(11)
Here is crystalline Ca6CdHg3 at its relaxed geometry from Alexandria via LeMat-Bulk. Energies are from PBE-GGA.

Structure (extended XYZ):
```
20
Lattice="-1.8725 -4.1294 -3.1050 6.5567 -5.8073 3.7692 -9.5918 -0.8414 6.9032" Properties=species:S:1:pos:R:3 pbc="T T T"
Ca 1.7638 -3.9018 1.6938
Ca -6.6714 -6.8764 5.8736
Ca -1.3085 -2.0220 1.0467
Ca -3.5991 -8.7561 6.5207
Ca -2.8374 -5.2666 6.2836
Ca -2.0702 -5.5115 1.2837
Ca -3.7140 -2.9002 3.6651
Ca -1.1936 -7.8780 3.9023
Ca 1.9905 -6.1605 4.5610
Ca -6.8981 -4.6176 3.0064
Ca -8.3265 -2.3541 5.7205
Ca 3.4189 -8.4240 1.8469
Cd -0.1366 -7.0173 6.9832
Cd -4.7709 -3.7608 0.5842
Hg -0.6799 -4.4664 3.9185
Hg -4.2276 -6.3117 3.6489
Hg -5.6676 -3.8398 6.0929
Hg 0.7600 -6.9383 1.4744
Hg -4.6084 -6.4160 8.8802
Hg -0.2992 -4.3621 -1.3128
```

Summary:
Total energy, eV/atom: -1.771
Crystal system: monoclinic
Theoretical density, g/cm³: 5.3
ΔH_f (0 K), meV/atom: -388


(12)
Here is crystalline Ca5Cd2Hg at its relaxed geometry from Alexandria via LeMat-Bulk. Energies are from PBE-GGA.

Structure (extended XYZ):
```
16
Lattice="-4.9881 -0.6232 1.8743 -2.0110 -2.4727 -6.1740 3.0312 -12.3530 3.9600" Properties=species:S:1:pos:R:3 pbc="T T T"
Ca -2.8471 -2.4025 -0.6976
Ca -1.1208 -13.0464 0.3579
Ca -2.9616 -7.2698 -2.6207
Ca -1.0062 -8.1791 2.2809
Ca 0.4376 -11.0891 -2.5223
Ca 0.5826 -3.7366 0.3083
Ca 1.6063 -10.5180 0.7780
Ca -0.5861 -4.3077 -2.9920
Ca 0.5101 -7.4128 -1.1070
Ca 0.0000 0.0000 0.0000
Cd -2.1283 -5.6490 0.1360
Cd -1.8396 -9.7998 -0.4758
Cd -0.1679 -11.2786 3.4816
Cd -3.8000 -4.1702 -3.8214
Hg 1.5156 -6.1765 1.9800
Hg -1.0055 -1.2363 -3.0870
```

Summary:
Total energy, eV/atom: -1.835
Crystal system: orthorhombic
Theoretical density, g/cm³: 4.2
ΔH_f (0 K), meV/atom: -317